An optimized crystal structure of NaFePdI5. Source: Alexandria, functional PBE-GGA.

```
NaFePdI5
1.0
-3.004 0.626 -8.100
1.795 -8.343 -1.482
-8.024 -1.503 3.782
I Pd Na Fe
10 2 2 2
direct
0.883 0.117 0.750
0.272 0.481 0.552
0.287 0.981 0.633
0.981 0.287 0.133
0.519 0.728 0.948
0.728 0.519 0.448
0.117 0.883 0.250
0.019 0.713 0.867
0.713 0.019 0.367
0.481 0.272 0.052
0.000 0.000 0.000
0.000 0.000 0.500
0.407 0.593 0.250
0.593 0.407 0.750
0.278 0.722 0.750
0.722 0.278 0.250
```

Calculated values
energy relative to the elements, uncorrected: -39.7 kJ per mole of atoms
space-group type: No. 15
DOS(E_F): 6.3 states/eV/cell
E_tot: -3.252 eV/atom